1.
CaInCo | the Alexandria database | SCAN | single point on PBEsol structure; space-group type = F-43m (216); ΔE_f = 393.5 meV per atom; final energy = -59.17 eV per cell
1.0
-3.0007 -1.1787 -3.3346
-0.9660 -4.4696 -0.7767
-4.1657 -1.7017 1.1243
Ca Co In
1 1 1
direct
0.0000 0.0000 0.0000
0.5000 0.5000 0.5000
0.2500 0.2500 0.2500


2.
Mg2TlIn | the Alexandria database | SCAN | single point on PBEsol structure; space-group type = P2/m (10); ΔE_f = -145.2 meV per atom; final energy = -116.27 eV per cell
1.0
3.2345 0.0000 -0.6472
0.0000 4.2621 0.0000
-1.9858 0.0000 7.1108
Tl Mg In
1 2 1
direct
0.5000 0.5000 0.0000
0.7469 0.0000 0.7467
0.2531 0.0000 0.2533
0.0000 0.5000 0.5000


3.
MgCu2RhO | the Alexandria database | SCAN | single point on PBEsol structure; space-group type = P4/mmm (123); formation energy (no corrections) = 1.54 eV per atom; final energy = -67.65 eV per cell
1.0
4.3803 0.0000 0.0000
0.0000 4.3803 0.0000
0.0000 0.0000 4.4852
Mg Rh O Cu
1 1 1 2
direct
0.0000 0.0000 0.0000
0.0000 0.0000 0.5000
0.5000 0.5000 0.5000
0.0000 0.5000 0.0000
0.5000 0.0000 0.0000


4.
Te2HS | the Alexandria database | SCAN | single point on PBEsol structure; space-group type = I-42d (122); ΔE to the lowest computed polymorph = 86 meV per atom; final energy = -170.64 eV per cell
1.0
7.0309 0.0000 0.0000
-3.5155 4.4815 1.1533
0.0000 4.0333 5.7591
H S Te
2 2 4
direct
0.2500 0.5000 0.2500
0.5000 0.0000 0.5000
0.7500 0.5000 0.7500
0.0000 0.0000 0.0000
0.5719 0.7500 0.3750
0.1781 0.7500 0.8750
0.8750 0.2500 0.5719
0.3750 0.2500 0.1781


5.
Zn3Ag5 | the Alexandria database | SCAN | single point on PBEsol structure; space-group type = Cmmm (65); ΔE_f = -15.6 meV per atom; ΔE to the lowest computed polymorph = 0 meV per atom; final energy = -197.51 eV per cell
1.0
4.0418 0.0000 0.0000
0.0000 5.5560 -0.0515
0.0000 -0.5565 5.5283
Zn Ag
3 5
direct
0.0000 0.5000 0.5000
0.5000 0.7659 0.2341
0.5000 0.2341 0.7659
0.0000 0.0000 0.0000
0.0000 0.5000 0.0000
0.0000 0.0000 0.5000
0.5000 0.7277 0.7277
0.5000 0.2723 0.2723


6.
NaHfRh2S | the Alexandria database | SCAN | single point on PBEsol structure; space-group type = P4/mmm (123); formation energy (no corrections) = 0.92 eV per atom; final energy = -139.46 eV per cell
1.0
4.6355 0.0000 0.0000
0.0000 4.6355 0.0000
0.0000 0.0000 5.6075
Rh S Hf Na
2 1 1 1
direct
0.0000 0.5000 0.0000
0.5000 0.0000 0.0000
0.5000 0.5000 0.5000
0.0000 0.0000 0.0000
0.0000 0.0000 0.5000


7.
KBa2Zn2 | the Alexandria database | SCAN | single point on PBEsol structure; space-group type = I4/mmm (139); ΔE_f = 94.0 meV per atom; final energy = -113.99 eV per cell
1.0
-0.1562 1.9603 3.6079
-0.9102 -3.5373 1.8825
12.7799 -1.4370 -1.0058
K Zn Ba
1 2 2
direct
0.0000 0.0000 0.0000
0.2500 0.7500 0.5000
0.7500 0.2500 0.5000
0.3525 0.3525 0.7049
0.6475 0.6475 0.2951


8.
LaTlP2Se6 | the Alexandria database | SCAN | single point on PBEsol structure; space-group type = P2_1/c (14); formation energy (no corrections) = -0.81 eV per atom; final energy = -1059.30 eV per cell
1.0
-0.5369 -7.7237 -0.0307
1.6685 -0.0698 -11.6060
10.7262 -0.7682 5.6926
La Tl P Se
4 4 8 24
direct
0.1039 0.4056 0.6521
0.6039 0.0944 0.3479
0.8961 0.5944 0.3479
0.3961 0.9056 0.6521
0.9061 0.1268 0.8698
0.4061 0.3732 0.1302
0.0939 0.8732 0.1302
0.5939 0.6268 0.8698
0.0985 0.2515 0.3213
0.5985 0.2485 0.6787
0.9015 0.7485 0.6787
0.4015 0.7515 0.3213
0.3825 0.2358 0.7957
0.8825 0.2642 0.2043
0.6175 0.7642 0.2043
0.1175 0.7358 0.7957
0.2891 0.4225 0.8795
0.7891 0.0775 0.1205
0.7109 0.5775 0.1205
0.2109 0.9225 0.8795
0.7899 0.3668 0.7945
0.2899 0.1332 0.2055
0.2101 0.6332 0.2055
0.7101 0.8668 0.7945
0.1842 0.1369 0.6711
0.6842 0.3631 0.3289
0.8158 0.8631 0.3289
0.3158 0.6369 0.6711
0.1967 0.4370 0.4091
0.6967 0.0630 0.5909
0.8033 0.5630 0.5909
0.3033 0.9370 0.4091
0.4838 0.1275 0.8958
0.9838 0.3725 0.1042
0.5162 0.8725 0.1042
0.0162 0.6275 0.8958
0.4729 0.3205 0.5515
0.9729 0.1795 0.4485
0.5271 0.6795 0.4485
0.0271 0.8205 0.5515


9.
HfCuBr2N | the Alexandria database | SCAN | single point on PBEsol structure; space-group type = P4/mmm (123); formation energy (no corrections) = 0.73 eV per atom; final energy = -122.43 eV per cell
1.0
5.1444 0.0000 0.0000
0.0000 5.1444 0.0000
0.0000 0.0000 5.0458
Hf Cu Br N
1 1 2 1
direct
0.0000 0.0000 0.0000
0.0000 0.0000 0.5000
0.0000 0.5000 0.0000
0.5000 0.0000 0.0000
0.5000 0.5000 0.5000


10.
SmGeRu | the Alexandria database | SCAN | single point on PBEsol structure; space-group type = Pnma (62); ΔE_f = -794.9 meV per atom; final energy = -402.96 eV per cell
1.0
-3.1266 -1.8925 -2.5743
3.6415 -6.0558 0.0292
-3.5217 -2.0897 5.8136
Sm Ge Ru
4 4 4
direct
0.2500 0.1867 0.9773
0.7500 0.8133 0.0227
0.7500 0.6867 0.5227
0.2500 0.3133 0.4773
0.2500 0.8921 0.3030
0.7500 0.1079 0.6970
0.7500 0.3921 0.1970
0.2500 0.6079 0.8030
0.2500 0.5653 0.1511
0.7500 0.4347 0.8489
0.7500 0.0653 0.3489
0.2500 0.9347 0.6511


11.
CsP2SeO | the Alexandria database | SCAN | single point on PBEsol structure; space-group type = P4/mmm (123); formation energy (no corrections) = 1.75 eV per atom; final energy = -76.19 eV per cell
1.0
4.1912 0.0000 0.0000
0.0000 5.4288 0.0000
0.0000 0.0000 5.4288
Cs P O Se
1 2 1 1
direct
0.0000 0.0000 0.0000
0.0000 0.0000 0.5000
0.0000 0.5000 0.0000
0.5000 0.0000 0.0000
0.5000 0.5000 0.5000


12.
Ca3BRu | the Alexandria database | SCAN | single point on PBEsol structure; space-group type = Pm-3m (221); ΔE_f = 1018.8 meV per atom; final energy = -66.15 eV per cell
1.0
-5.1314 -0.2595 -0.8808
-0.3083 -4.2233 3.0402
-0.8650 3.0448 4.1419
Ru Ca B
1 3 1
direct
0.0000 0.0000 0.0000
0.0000 0.5000 0.0000
0.0000 0.0000 0.5000
0.5000 0.0000 0.0000
0.5000 0.5000 0.5000


13.
Fe2PtCl | the Alexandria database | SCAN | single point on PBEsol structure; space-group type = Pmmm (47); formation energy (no corrections) = -0.30 eV per atom; ΔE to the lowest computed polymorph = 0 meV per atom; final energy = -115.61 eV per cell
1.0
2.8045 0.0000 0.0000
0.0000 3.6475 0.0000
0.0000 0.0000 6.4067
Fe Pt Cl
2 1 1
direct
0.0000 0.5000 0.8093
0.0000 0.5000 0.1907
0.5000 0.0000 0.0000
0.5000 0.5000 0.5000


14.
KIr3 | the Alexandria database | SCAN | single point on PBEsol structure; space-group type = Immm (71); ΔE_f = 790.0 meV per atom; ΔE to the lowest computed polymorph = 0 meV per atom; final energy = -218.47 eV per cell
1.0
-1.9874 -0.7953 -1.6249
-1.2724 -3.4682 3.2538
-1.5725 5.4551 1.4757
Ir K
3 1
direct
0.7839 0.7839 0.5677
0.2161 0.2161 0.4323
0.5000 0.0000 0.0000
0.0000 0.5000 0.0000


15.
Zr6Ga2FeH10 | the Alexandria database | SCAN | single point on PBEsol structure; space-group type = P-62c (190); final energy = -559.07 eV per cell
1.0
-3.0614 -3.9919 4.9457
-3.6343 -4.2190 -5.6551
7.1499 -2.2223 2.6321
Zr Ga Fe H
12 4 2 20
direct
0.0000 0.2605 0.2605
0.0000 0.0000 0.7395
0.5000 0.2605 0.2605
0.0000 0.7395 0.0000
0.5000 0.0000 0.7395
0.5000 0.7395 0.0000
0.7500 0.5751 0.6201
0.7500 0.0451 0.4249
0.2500 0.9549 0.3799
0.7500 0.3799 0.9549
0.2500 0.6201 0.5751
0.2500 0.4249 0.0451
0.9512 0.6667 0.3333
0.5488 0.6667 0.3333
0.0488 0.3333 0.6667
0.4512 0.3333 0.6667
0.7500 0.0000 0.0000
0.2500 0.0000 0.0000
0.0000 0.7196 0.7196
0.0000 0.0000 0.2804
0.5000 0.7196 0.7196
0.0000 0.2804 0.0000
0.5000 0.0000 0.2804
0.5000 0.2804 0.0000
0.7500 0.5919 0.8824
0.7500 0.2905 0.4081
0.2500 0.7095 0.1176
0.7500 0.1176 0.7095
0.2500 0.8824 0.5919
0.2500 0.4081 0.2905
0.7500 0.8806 0.1207
0.7500 0.2401 0.1194
0.2500 0.7599 0.8793
0.7500 0.8793 0.7599
0.2500 0.1207 0.8806
0.2500 0.1194 0.2401
0.0000 0.0000 0.0000
0.5000 0.0000 0.0000


16.
SrSn2As2 | the Alexandria database | SCAN | single point on PBEsol structure; space-group type = R-3m (166); ΔE_f = -583.4 meV per atom; final energy = -137.42 eV per cell
1.0
4.2128 0.0000 0.0000
2.1064 3.6484 0.0000
2.1064 1.2161 8.8039
Sr As Sn
1 2 2
direct
0.0000 0.0000 0.0000
0.5929 0.5929 0.2213
0.4071 0.4071 0.7787
0.2083 0.2083 0.3752
0.7917 0.7917 0.6248


17.
NaAlTl2Pt | the Alexandria database | SCAN | single point on PBEsol structure; space-group type = P4/mmm (123); ΔE_f = 855.7 meV per atom; final energy = -222.60 eV per cell
1.0
-0.5778 -2.3388 4.2205
-4.1548 -2.4759 -1.9409
3.0843 -3.8391 -1.7052
Na Tl Al Pt
1 2 1 1
direct
0.0000 0.0000 0.0000
0.0000 0.0000 0.5000
0.0000 0.5000 0.0000
0.5000 0.5000 0.5000
0.5000 0.0000 0.0000


18.
ZrNbAl2 | the Alexandria database | SCAN | single point on PBEsol structure; space-group type = I-42d (122); ΔE_f = 9.0 meV per atom; final energy = -158.59 eV per cell
1.0
-3.9109 3.7271 -1.5475
-5.3944 -1.9685 -1.3120
-3.3677 2.4359 4.1739
Nb Al Zr
2 4 2
direct
0.0000 0.0000 0.0000
0.7500 0.5000 0.5000
0.6365 0.9885 0.4885
0.1135 0.0115 0.5115
0.3750 0.5115 0.9885
0.8750 0.4885 0.0115
0.5000 0.0000 0.0000
0.2500 0.5000 0.5000


19.
LaMnB2Pb | the Alexandria database | SCAN | single point on PBEsol structure; space-group type = P4/mmm (123); ΔE_f = 1846.0 meV per atom; final energy = -142.77 eV per cell
1.0
-2.4044 -0.6368 3.9911
3.9521 -1.3425 2.1666
1.0815 5.7041 1.5616
Pb B Mn La
1 2 1 1
direct
0.0000 0.0000 0.5000
0.0000 0.5000 0.0000
0.5000 0.0000 0.0000
0.5000 0.5000 0.5000
0.0000 0.0000 0.0000


20.
TaTiPb2Br | the Alexandria database | SCAN | single point on PBEsol structure; space-group type = P4/mmm (123); formation energy (no corrections) = 1.03 eV per atom; final energy = -248.46 eV per cell
1.0
4.6268 0.0000 0.0000
0.0000 5.4072 0.0000
0.0000 0.0000 5.4072
Pb Ti Br Ta
2 1 1 1
direct
0.0000 0.0000 0.5000
0.0000 0.5000 0.0000
0.0000 0.0000 0.0000
0.5000 0.0000 0.0000
0.5000 0.5000 0.5000